#i
Below is a geometry-optimized LiHfAg structure, with properties calculated at the GGA-PBE level.

Values from the calculation:
ρ in g/cm³: 7.629
Symmetry: F-43m (216)
Crystal system: cubic
V in A^3/atom: 21.28
Magnetic moment in μB per formula unit: 0.888

POSCAR file:
```
LiHfAg
1.0
6.344 0.000 0.000
0.000 6.344 0.000
0.000 0.000 6.344
Li Hf Ag
4 4 4
direct
0.000 0.000 0.000
0.000 0.500 0.500
0.500 0.000 0.500
0.500 0.500 0.000
0.000 0.000 0.500
0.000 0.500 0.000
0.500 0.000 0.000
0.500 0.500 0.500
0.250 0.250 0.750
0.250 0.750 0.250
0.750 0.250 0.250
0.750 0.750 0.750
```

#ii
Below is a geometry-optimized LiHfAg structure, with properties calculated at the GGA-PBE level.

Values from the calculation:
ρ in g/cm³: 7.519
Symmetry: F-43m (216)
Crystal system: cubic
V in A^3/atom: 21.59
Magnetic moment in μB per formula unit: 0.002

POSCAR file:
```
LiHfAg
1.0
6.375 0.000 0.000
0.000 6.375 0.000
0.000 0.000 6.375
Li Hf Ag
4 4 4
direct
0.000 0.000 0.000
0.000 0.500 0.500
0.500 0.000 0.500
0.500 0.500 0.000
0.250 0.250 0.750
0.250 0.750 0.250
0.750 0.250 0.250
0.750 0.750 0.750
0.000 0.000 0.500
0.000 0.500 0.000
0.500 0.000 0.000
0.500 0.500 0.500
```

Relative energy of each structure, in kJ/mol of atoms: #i 0.0; #ii 28.1.

#i
Below is a geometry-optimized LiHfAg3S4 structure, with properties calculated at the GGA-PBE level.

Values from the calculation:
ρ in g/cm³: 4.859
Symmetry: P-43m (215)
Crystal system: cubic
V in A^3/atom: 24.20
Magnetic moment in μB per formula unit: 0.001

POSCAR file:
```
LiHfAg3S4
1.0
6.017 0.000 0.000
0.000 6.017 0.000
0.000 0.000 6.017
Li Hf Ag S
1 1 3 4
direct
0.000 0.000 0.000
0.500 0.500 0.500
0.000 0.500 0.500
0.500 0.000 0.500
0.500 0.500 0.000
0.265 0.265 0.265
0.265 0.735 0.735
0.735 0.265 0.735
0.735 0.735 0.265
```

#ii
Below is a geometry-optimized LiHfAg3S4 structure, with properties calculated at the GGA-PBE level.

Values from the calculation:
ρ in g/cm³: 4.943
Symmetry: P2_1/m (11)
Crystal system: monoclinic
V in A^3/atom: 23.79
Magnetic moment in μB per formula unit: 0.001

POSCAR file:
```
LiHfAg3S4
1.0
6.269 0.000 0.000
0.000 7.959 0.000
-0.512 0.000 8.582
Li Hf Ag S
2 2 6 8
direct
0.186 0.250 0.217
0.814 0.750 0.783
0.190 0.750 0.272
0.810 0.250 0.728
0.277 0.035 0.541
0.277 0.465 0.541
0.337 0.250 0.821
0.663 0.750 0.179
0.723 0.535 0.459
0.723 0.965 0.459
0.017 0.250 0.963
0.034 0.750 0.531
0.416 0.505 0.250
0.416 0.995 0.250
0.584 0.005 0.750
0.584 0.495 0.750
0.966 0.250 0.469
0.983 0.750 0.037
```

Relative energy of each structure, in kJ/mol of atoms: #i 0.0; #ii 3.5.

#i
Below is a geometry-optimized LiHfAg3Te4 structure, with properties calculated at the GGA-PBE level.

Values from the calculation:
ρ in g/cm³: 6.292
Symmetry: P2_1/m (11)
Crystal system: monoclinic
V in A^3/atom: 29.89
Magnetic moment in μB per formula unit: 0.000

POSCAR file:
```
LiHfAg3Te4
1.0
6.622 0.000 0.000
0.000 8.987 0.000
-0.633 0.000 9.043
Li Hf Ag Te
2 2 6 8
direct
0.202 0.250 0.121
0.798 0.750 0.879
0.244 0.750 0.258
0.756 0.250 0.742
0.222 0.004 0.510
0.222 0.496 0.510
0.276 0.250 0.742
0.724 0.750 0.258
0.778 0.504 0.490
0.778 0.996 0.490
0.003 0.001 0.771
0.003 0.499 0.771
0.443 0.750 0.013
0.487 0.750 0.526
0.513 0.250 0.474
0.557 0.250 0.987
0.997 0.501 0.229
0.997 0.999 0.229
```

#ii
Below is a geometry-optimized LiHfAg3Te4 structure, with properties calculated at the GGA-PBE level.

Values from the calculation:
ρ in g/cm³: 6.137
Symmetry: P-43m (215)
Crystal system: cubic
V in A^3/atom: 30.65
Magnetic moment in μB per formula unit: 0.002

POSCAR file:
```
LiHfAg3Te4
1.0
6.510 0.000 0.000
0.000 6.510 0.000
0.000 0.000 6.510
Li Hf Ag Te
1 1 3 4
direct
0.000 0.000 0.000
0.500 0.500 0.500
0.000 0.500 0.500
0.500 0.000 0.500
0.500 0.500 0.000
0.253 0.253 0.253
0.253 0.747 0.747
0.747 0.253 0.747
0.747 0.747 0.253
```

Relative energy of each structure, in kJ/mol of atoms: #i 7.0; #ii 0.0.

#i
Below is a geometry-optimized HfAgOs structure, with properties calculated at the GGA-PBE level.

Values from the calculation:
ρ in g/cm³: 12.839
Symmetry: F-43m (216)
Crystal system: cubic
V in A^3/atom: 20.55
Magnetic moment in μB per formula unit: 0.008

POSCAR file:
```
HfAgOs
1.0
6.271 0.000 0.000
0.000 6.271 0.000
0.000 0.000 6.271
Hf Ag Os
4 4 4
direct
0.000 0.000 0.000
0.000 0.500 0.500
0.500 0.000 0.500
0.500 0.500 0.000
0.250 0.250 0.750
0.250 0.750 0.250
0.750 0.250 0.250
0.750 0.750 0.750
0.250 0.250 0.250
0.250 0.750 0.750
0.750 0.250 0.750
0.750 0.750 0.250
```

#ii
Below is a geometry-optimized HfAgOs structure, with properties calculated at the GGA-PBE level.

Values from the calculation:
ρ in g/cm³: 12.713
Symmetry: F-43m (216)
Crystal system: cubic
V in A^3/atom: 20.75
Magnetic moment in μB per formula unit: 0.207

POSCAR file:
```
HfAgOs
1.0
6.291 0.000 0.000
0.000 6.291 0.000
0.000 0.000 6.291
Hf Ag Os
4 4 4
direct
0.000 0.000 0.000
0.000 0.500 0.500
0.500 0.000 0.500
0.500 0.500 0.000
0.000 0.000 0.500
0.000 0.500 0.000
0.500 0.000 0.000
0.500 0.500 0.500
0.250 0.250 0.750
0.250 0.750 0.250
0.750 0.250 0.250
0.750 0.750 0.750
```

Relative energy of each structure, in kJ/mol of atoms: #i 12.6; #ii 0.0.